# Ac2Tb2Pt15, optimized geometry, DFT PBE-GGA
# V in Å³ per cell: 1081.9
# Formation energy from the elements in eV/f.u.: -14.39
# Spin magnetization in μB/cell: 0.000
data_Ac2Tb2Pt15
_cell_length_a 9.4664
_cell_length_b 9.4664
_cell_length_c 13.9407
_cell_angle_alpha 90.00
_cell_angle_beta 90.00
_cell_angle_gamma 120.00
_symmetry_space_group_name_H-M 'R -3 m'
_symmetry_Int_Tables_number 166
_symmetry_space_group_name_Hall '-R 3 2"'
loop_
_atom_site_label
_atom_site_type_symbol
_atom_site_fract_x
_atom_site_fract_y
_atom_site_fract_z
Ac1 Ac 0.0000 0.0000 0.1450
Tb1 Tb 0.0000 0.0000 0.3942
Pt1 Pt 0.0000 0.3063 0.5000
Pt2 Pt 0.0000 0.5000 0.0000
Pt3 Pt 0.0018 0.5009 0.6548

=====

# MnZnFe2, optimized geometry, DFT PBE-GGA
# V in Å³ per cell: 46.0
# Formation energy from the elements in eV/f.u.: 0.63
# Spin magnetization in μB/cell: 1.299
data_MnZnFe2
_cell_length_a 2.8055
_cell_length_b 2.8055
_cell_length_c 5.8459
_cell_angle_alpha 90.00
_cell_angle_beta 90.00
_cell_angle_gamma 90.00
_symmetry_space_group_name_H-M 'P 4/m m m'
_symmetry_Int_Tables_number 123
_symmetry_space_group_name_Hall '-P 4 2'
loop_
_atom_site_label
_atom_site_type_symbol
_atom_site_fract_x
_atom_site_fract_y
_atom_site_fract_z
Mn1 Mn 0.0000 0.0000 0.0000
Zn1 Zn 0.0000 0.0000 0.5000
Fe1 Fe 0.5000 0.5000 0.2319

=====

# RbWC2, optimized geometry, DFT PBE-GGA
# V in Å³ per cell: 217.9
# Formation energy from the elements in eV/f.u.: 11.98
# Spin magnetization in μB/cell: 0.012
data_RbWC2
_cell_length_a 6.0179
_cell_length_b 6.0179
_cell_length_c 6.0179
_cell_angle_alpha 90.00
_cell_angle_beta 90.00
_cell_angle_gamma 90.00
_symmetry_space_group_name_H-M 'F m -3 m'
_symmetry_Int_Tables_number 225
_symmetry_space_group_name_Hall '-F 4 2 3'
loop_
_atom_site_label
_atom_site_type_symbol
_atom_site_fract_x
_atom_site_fract_y
_atom_site_fract_z
Rb1 Rb 0.0000 0.0000 0.0000
W1 W 0.0000 0.0000 0.5000
C1 C 0.2500 0.2500 0.2500

=====

- What is the V in the first record?
  1081.9 Å³ per cell